# 1
VASP calculation (PBE) on a geometry-optimized SrGd3Cu structure.

Calculated values
The calculated volume comes out at 174 Å³/cell. The density of states at the Fermi level comes out at 10.5 states/eV/cell. As for the formation enthalpy at 0 K: 0.104 eV/atom. The calculation puts the total DFT energy (no corrections) at -9.50 eV/atom.

The structure in extended XYZ format:
```
5
Lattice="-4.576 -2.023 -2.484 2.484 -4.975 -0.524 -2.023 -1.534 4.975" Properties=species:S:1:pos:R:3 pbc="T T T"
Gd -2.288 -1.012 -1.242
Gd 1.242 -2.488 -0.262
Gd -1.011 -0.767 2.488
Sr -2.057 -4.266 0.983
Cu 0.000 0.000 0.000
```

---

# 2
VASP calculation (PBE) on a geometry-optimized Ho6TmTl5 structure.

Calculated values
The calculated volume comes out at 331 Å³/cell. The density of states at the Fermi level comes out at 12.3 states/eV/cell. As for the formation enthalpy at 0 K: -0.263 eV/atom. The calculation puts the total DFT energy (no corrections) at -3.91 eV/atom.

The structure in extended XYZ format:
```
12
Lattice="-1.017 3.546 3.338 -5.777 3.601 -5.586 -2.090 -7.877 4.025" Properties=species:S:1:pos:R:3 pbc="T T T"
Ho -2.088 2.758 0.142
Ho -4.706 4.390 -2.389
Ho -2.764 -1.921 4.907
Ho -5.500 -0.216 2.262
Ho -3.385 -0.514 -0.485
Ho -6.120 1.191 -3.130
Tl -2.888 1.800 -2.793
Tl -2.119 0.510 2.520
Tl -3.520 -2.761 1.861
Tl -5.364 2.031 -0.084
Tl -6.765 -1.240 -0.743
Tm 0.000 0.000 0.000
```

---

# 3
VASP calculation (PBE) on a geometry-optimized PmZr2PaN4 structure.

Calculated values
The calculated volume comes out at 111 Å³/cell. The density of states at the Fermi level comes out at 2.8 states/eV/cell. The calculation puts the total DFT energy (no corrections) at -9.71 eV/atom. The calculation puts the formation energy (no corrections) at -1.63 eV/atom.

The structure in extended XYZ format:
```
8
Lattice="-3.030 -1.220 -0.887 2.599 -4.820 -2.251 0.425 -4.101 4.189" Properties=species:S:1:pos:R:3 pbc="T T T"
Pa 1.512 -4.461 0.969
Zr -1.303 -2.660 1.651
Zr 0.425 -4.101 4.189
Pm -0.215 -3.020 -1.569
N 0.583 -5.347 -1.097
N -0.589 -4.795 2.149
N -2.319 -3.437 -0.268
N 2.312 -6.704 1.319
```

---

# 4
VASP calculation (PBE) on a geometry-optimized KPPtO6 structure.

Calculated values
The calculated volume comes out at 129 Å³/cell. The density of states at the Fermi level comes out at 6.0 states/eV/cell. The calculation puts the total DFT energy (no corrections) at -5.91 eV/atom. The calculation puts the formation energy (no corrections) at -1.21 eV/atom.

The structure in extended XYZ format:
```
9
Lattice="-1.478 -4.614 1.035 0.440 -1.767 4.607 -5.548 2.074 1.325" Properties=species:S:1:pos:R:3 pbc="T T T"
Pt -3.466 -3.217 4.424
O -4.423 -2.024 3.157
O -2.724 -2.149 1.251
O -4.207 -0.347 1.441
O -3.490 0.133 3.691
O -2.121 -2.024 3.581
O -1.756 -0.128 2.139
K -7.026 -2.540 2.360
P -3.120 -1.090 2.543
```

---

# 5
VASP calculation (PBE) on a geometry-optimized RbSiSn3 structure.

Calculated values
The calculated volume comes out at 162 Å³/cell. The density of states at the Fermi level comes out at 4.0 states/eV/cell. The calculation puts the total DFT energy (no corrections) at -3.39 eV/atom. The calculation puts the formation energy (no corrections) at 0.29 eV/atom.

The structure in extended XYZ format:
```
5
Lattice="5.451 0.000 0.000 0.000 5.451 0.000 0.000 0.000 5.451" Properties=species:S:1:pos:R:3 pbc="T T T"
Sn 0.000 2.725 0.000
Sn 2.725 0.000 0.000
Sn 0.000 0.000 2.725
Rb 2.725 2.725 2.725
Si 0.000 0.000 0.000
```

---

# 6
VASP calculation (PBE) on a geometry-optimized Mn2NbB2 structure.

Calculated values
The calculated volume comes out at 101 Å³/cell. The density of states at the Fermi level comes out at 5.9 states/eV/cell. As for the formation enthalpy at 0 K: -0.227 eV/atom. The calculation puts the total DFT energy (no corrections) at -8.58 eV/atom.

The structure in extended XYZ format:
```
10
Lattice="5.979 0.000 0.000 0.000 5.979 0.000 0.000 0.000 2.814" Properties=species:S:1:pos:R:3 pbc="T T T"
B 2.323 5.312 0.000
B 5.312 3.656 0.000
B 3.656 0.667 0.000
B 0.667 2.323 0.000
Mn 3.953 5.015 1.407
Mn 5.015 2.026 1.407
Mn 2.026 0.964 1.407
Mn 0.964 3.953 1.407
Nb 2.990 2.990 0.000
Nb 0.000 0.000 0.000
```

---

# 7
VASP calculation (PBE) on a geometry-optimized V2TcNiSn structure.

Calculated values
The calculated volume comes out at 109 Å³/cell. The density of states at the Fermi level comes out at 7.5 states/eV/cell. As for the formation enthalpy at 0 K: 2.151 eV/atom. The calculation puts the total DFT energy (no corrections) at -5.53 eV/atom.

The structure in extended XYZ format:
```
5
Lattice="-2.426 1.881 3.643 1.824 -3.338 2.938 3.680 2.865 0.971" Properties=species:S:1:pos:R:3 pbc="T T T"
V 1.840 1.433 0.486
V -1.213 0.940 1.821
Ni 1.539 0.704 3.776
Tc 0.912 -1.669 1.469
Sn 0.000 0.000 0.000
```

---

# 8
VASP calculation (PBE) on a geometry-optimized NaSnGe3 structure.

Calculated values
The calculated volume comes out at 156 Å³/cell. The density of states at the Fermi level comes out at 3.9 states/eV/cell. As for the formation enthalpy at 0 K: 0.637 eV/atom. The calculation puts the total DFT energy (no corrections) at -3.20 eV/atom.

The structure in extended XYZ format:
```
5
Lattice="5.384 0.000 0.000 0.000 5.384 0.000 0.000 0.000 5.384" Properties=species:S:1:pos:R:3 pbc="T T T"
Ge 0.000 0.000 2.692
Ge 2.692 0.000 0.000
Ge 0.000 2.692 0.000
Sn 0.000 0.000 0.000
Na 2.692 2.692 2.692
```

---

# 9
VASP calculation (PBE) on a geometry-optimized TbPrRe4 structure.

Calculated values
The calculated volume comes out at 116 Å³/cell. The density of states at the Fermi level comes out at 8.3 states/eV/cell. As for the formation enthalpy at 0 K: -0.010 eV/atom. The calculation puts the total DFT energy (no corrections) at -9.88 eV/atom.

The structure in extended XYZ format:
```
6
Lattice="-3.798 3.810 -1.052 -4.973 -1.498 -1.752 -4.343 0.526 3.303" Properties=species:S:1:pos:R:3 pbc="T T T"
Re -6.297 -0.133 0.838
Re -8.198 1.774 0.312
Re -6.025 1.511 -1.341
Re -5.709 2.523 1.189
Pr -3.279 0.709 0.125
Tb 0.000 0.000 0.000
```

---

# 10
VASP calculation (PBE) on a geometry-optimized Pm2Zn5Ga3 structure.

Calculated values
The calculated volume comes out at 191 Å³/cell. The density of states at the Fermi level comes out at 3.9 states/eV/cell. As for the formation enthalpy at 0 K: -0.423 eV/atom. The calculation puts the total DFT energy (no corrections) at -2.92 eV/atom.

The structure in extended XYZ format:
```
10
Lattice="-2.400 -1.607 -3.113 0.593 -3.905 1.558 -8.606 1.112 6.060" Properties=species:S:1:pos:R:3 pbc="T T T"
Ga -2.782 -1.555 2.947
Ga -4.303 0.556 3.030
Ga -6.728 -0.089 2.336
Pm -3.345 -0.526 -0.046
Pm -6.165 -1.118 5.329
Zn -8.709 0.167 3.731
Zn -0.903 -2.756 -0.777
Zn -0.801 -1.811 1.552
Zn -5.206 -2.200 2.253
Zn 0.000 0.000 0.000
```

---

# 11
VASP calculation (PBE) on a geometry-optimized BaSrCd3 structure.

Calculated values
The calculated volume comes out at 223 Å³/cell. The density of states at the Fermi level comes out at 5.8 states/eV/cell. As for the formation enthalpy at 0 K: 0.184 eV/atom. The calculation puts the total DFT energy (no corrections) at -1.09 eV/atom.

The structure in extended XYZ format:
```
5
Lattice="-3.441 -0.068 4.991 -4.548 -2.454 -3.170 2.056 -5.543 1.342" Properties=species:S:1:pos:R:3 pbc="T T T"
Cd -2.274 -1.227 -1.585
Cd -1.721 -0.034 2.495
Cd 1.028 -2.772 0.671
Ba -2.967 -4.033 1.582
Sr 0.000 0.000 0.000
```

---

# 12
VASP calculation (PBE) on a geometry-optimized Zr3SnH3 structure.

Calculated values
The calculated volume comes out at 194 Å³/cell. The density of states at the Fermi level comes out at 9.0 states/eV/cell. The calculation puts the total DFT energy (no corrections) at -6.20 eV/atom.

The structure in extended XYZ format:
```
14
Lattice="-2.794 4.586 2.173 -0.248 -2.601 5.170 5.069 2.401 1.451" Properties=species:S:1:pos:R:3 pbc="T T T"
Zr -0.130 2.893 1.449
Zr -2.220 2.139 4.215
Zr 2.404 4.093 2.175
Zr -0.823 -0.154 3.128
Zr 2.348 -0.751 4.603
Zr 2.472 0.550 2.018
Sn 0.000 0.000 0.000
Sn 1.013 2.192 4.397
H 0.439 4.640 2.356
H -1.583 0.342 4.964
H 1.836 2.347 1.269
H 3.677 0.500 3.673
H -1.459 1.642 2.379
H 1.143 -0.701 2.948
```

---

# 13
VASP calculation (PBE) on a geometry-optimized Cs2HfBr6Cl structure.

Calculated values
The calculated volume comes out at 410 Å³/cell. The density of states at the Fermi level comes out at 4.6 states/eV/cell. The calculation puts the total DFT energy (no corrections) at -3.72 eV/atom. The calculation puts the formation energy (no corrections) at -1.37 eV/atom.

The structure in extended XYZ format:
```
10
Lattice="8.175 0.000 0.000 0.000 8.175 0.000 4.088 4.088 6.142" Properties=species:S:1:pos:R:3 pbc="T T T"
Hf 0.000 0.000 0.000
Br 1.855 1.855 0.000
Br 6.320 6.320 0.000
Br 8.175 8.175 2.620
Br 1.855 6.320 0.000
Br 6.320 1.855 0.000
Br 4.088 4.088 3.521
Cs 4.088 8.175 3.071
Cs 8.175 4.088 3.071
Cl 4.088 4.088 0.000
```

---

# 14
VASP calculation (PBE) on a geometry-optimized K2CdIn3Hg12 structure.

Calculated values
The calculated volume comes out at 538 Å³/cell. The density of states at the Fermi level comes out at 6.1 states/eV/cell. As for the formation enthalpy at 0 K: -0.040 eV/atom. The calculation puts the total DFT energy (no corrections) at -0.87 eV/atom.

The structure in extended XYZ format:
```
18
Lattice="-2.620 -6.727 3.786 7.493 -2.425 2.105 -0.291 3.549 7.333" Properties=species:S:1:pos:R:3 pbc="T T T"
In 3.746 -1.212 1.053
In -0.146 1.775 3.666
In -1.310 -3.363 1.893
Hg -0.472 -4.601 4.556
Hg 4.019 -0.054 6.046
Hg 5.053 -1.002 8.669
Hg 3.839 -6.359 6.820
Hg -0.931 -2.160 6.868
Hg 2.879 -5.083 4.310
Hg -0.219 -3.245 9.545
Hg 4.801 -2.358 3.679
Hg 1.702 -0.519 8.914
Hg 0.563 -5.548 7.179
Hg 5.512 -3.443 6.356
Hg 0.743 0.757 6.405
Cd 0.000 0.000 0.000
K 3.136 -3.835 9.053
K 1.445 -1.767 4.171
```

---

# 15
VASP calculation (PBE) on a geometry-optimized BeRhBr2 structure.

Calculated values
The calculated volume comes out at 211 Å³/cell. The calculation puts the total DFT energy (no corrections) at -3.94 eV/atom. The calculation puts the formation energy (no corrections) at -0.34 eV/atom.

The structure in extended XYZ format:
```
8
Lattice="-0.829 -4.055 -0.590 2.677 -2.545 5.253 -6.003 -0.608 5.876" Properties=species:S:1:pos:R:3 pbc="T T T"
Br -2.553 -3.234 3.465
Br 0.120 -1.810 1.517
Br -2.829 -3.231 9.480
Br -0.632 -2.158 6.313
Be 1.029 -5.151 3.795
Be -0.310 -3.377 3.178
Rh 1.178 -3.241 5.009
Rh -1.184 -5.393 3.418
```

---

# 16
VASP calculation (PBE) on a geometry-optimized Nd3Er3Sc2 structure.

Calculated values
The calculated volume comes out at 248 Å³/cell. The density of states at the Fermi level comes out at 12.3 states/eV/cell. As for the formation enthalpy at 0 K: 0.079 eV/atom. The calculation puts the total DFT energy (no corrections) at -5.00 eV/atom.

The structure in extended XYZ format:
```
8
Lattice="5.463 0.000 0.000 0.000 5.670 -0.152 -2.731 -2.431 8.069" Properties=species:S:1:pos:R:3 pbc="T T T"
Er 0.000 3.344 5.694
Er 2.731 -0.105 2.223
Er 2.731 2.835 -0.076
Nd 2.731 0.009 5.746
Nd 0.000 3.230 2.171
Nd 0.000 0.000 0.000
Sc 0.000 0.549 3.986
Sc 2.731 2.689 3.931
```

---

# 17
VASP calculation (PBE) on a geometry-optimized PuMn2Ag structure.

Calculated values
The calculated volume comes out at 67 Å³/cell. The density of states at the Fermi level comes out at 3.7 states/eV/cell. As for the formation enthalpy at 0 K: 0.158 eV/atom. The calculation puts the total DFT energy (no corrections) at -8.72 eV/atom.

The structure in extended XYZ format:
```
4
Lattice="-1.254 0.365 3.160 -3.022 -3.110 -0.840 2.784 -3.101 1.463" Properties=species:S:1:pos:R:3 pbc="T T T"
Pu -0.627 0.183 1.580
Ag -0.746 -2.923 1.892
Mn -1.511 -1.555 -0.420
Mn 1.392 -1.550 0.731
```

---

# 18
VASP calculation (PBE) on a geometry-optimized MgPaCrN4 structure.

Calculated values
The calculated volume comes out at 180 Å³/cell. The density of states at the Fermi level comes out at 4.2 states/eV/cell. The calculation puts the total DFT energy (no corrections) at -8.57 eV/atom. The calculation puts the formation energy (no corrections) at -0.86 eV/atom.

The structure in extended XYZ format:
```
14
Lattice="-1.717 5.106 0.890 -5.271 -1.699 -0.416 0.508 -2.925 5.511" Properties=species:S:1:pos:R:3 pbc="T T T"
N -5.169 -2.152 0.985
N -2.653 -1.340 1.183
N -4.715 0.771 0.989
N -2.065 1.246 2.539
N -1.310 2.633 5.000
N -4.414 -0.765 3.445
N -1.764 -0.290 4.995
N -3.826 1.822 4.801
Cr -2.201 1.253 4.228
Cr -4.279 -0.772 1.757
Mg -1.329 -1.132 2.930
Mg -5.150 1.613 3.054
Pa -4.761 -0.210 5.573
Pa -1.718 0.691 0.411
```

---

# 19
VASP calculation (PBE) on a geometry-optimized Nb2InCo structure.

Calculated values
The calculated volume comes out at 146 Å³/cell. The density of states at the Fermi level comes out at 6.9 states/eV/cell. As for the formation enthalpy at 0 K: 0.316 eV/atom. The calculation puts the total DFT energy (no corrections) at -7.18 eV/atom.

The structure in extended XYZ format:
```
8
Lattice="-7.165 -0.222 1.671 -1.254 -4.174 -5.931 -3.798 -4.412 -0.659" Properties=species:S:1:pos:R:3 pbc="T T T"
In 0.000 0.000 0.000
In -7.586 -3.416 -0.559
Nb -6.074 -5.188 -2.419
Nb -10.145 -6.926 -3.895
Nb -3.024 -3.752 -3.571
Nb -5.189 -1.751 0.046
Co -4.630 -5.392 -4.360
Co -4.209 -2.198 -2.130
```

---

# 20
VASP calculation (PBE) on a geometry-optimized Al2Pd9Pt structure.

Calculated values
The calculated volume comes out at 181 Å³/cell. The density of states at the Fermi level comes out at 13.8 states/eV/cell. As for the formation enthalpy at 0 K: -0.421 eV/atom. The calculation puts the total DFT energy (no corrections) at -5.44 eV/atom.

The structure in extended XYZ format:
```
12
Lattice="-3.574 0.247 -1.599 0.242 -3.752 -1.120 -4.791 -3.350 10.190" Properties=species:S:1:pos:R:3 pbc="T T T"
Pd -5.750 -2.648 7.630
Pd -0.707 -2.455 1.201
Pd -2.275 -3.551 4.535
Pd -3.843 -4.647 7.870
Pd -4.848 -3.977 5.408
Pd -4.183 -1.552 4.296
Pd -2.615 -0.455 0.961
Pd -1.666 -1.753 -1.359
Pd -3.275 -2.878 2.063
Pt 0.000 0.000 0.000
Al -3.189 -2.230 6.782
Al -1.602 -1.120 3.408
```

---

| no. | M_tot (μB per atom) |
| --- | --- |
| 1 | 4.6429 |
| 2 | 0.0072 |
| 3 | 0.0000 |
| 4 | 0.0000 |
| 5 | 0.0000 |
| 6 | 0.0000 |
| 7 | 0.0115 |
| 8 | 0.0000 |
| 9 | 0.0000 |
| 10 | 0.0000 |
| 11 | 0.0000 |
| 12 | 0.0000 |
| 13 | 0.1000 |
| 14 | 0.0000 |
| 15 | 0.0000 |
| 16 | 0.0000 |
| 17 | 0.1176 |
| 18 | 0.1438 |
| 19 | 0.0000 |
| 20 | 0.0000 |